# 1
Na2TcRh: optimized geometry, PBE.

E_form (eV/f.u.): 4.6
Total energy (eV per cell): -15.74
Space group: Fm-3m (225)
Calculated density (g cm⁻³): 5.52
M_tot (μB per formula unit): 3.88

Unit cell a=4.7167 b=4.7167 c=4.7167 alpha=60.00 beta=60.00 gamma=60.00
Fractional positions:
1 Rh 0.5000 0.5000 0.5000
2 Na 0.7500 0.7500 0.7500
3 Na 0.2500 0.2500 0.2500
4 Tc 0.0000 0.0000 0.0000

# 2
NaTc3Rh: optimized geometry, PBE.

E_form (eV/f.u.): 8.7
Total energy (eV per cell): -31.03
Space group: Pm-3m (221)
Calculated density (g cm⁻³): 6.53
M_tot (μB per formula unit): 2.57

Unit cell a=4.7440 b=4.7440 c=4.7440 alpha=90.00 beta=90.00 gamma=90.00
Fractional positions:
1 Tc 0.5000 0.0000 0.0000
2 Tc 0.0000 0.0000 0.5000
3 Tc 0.0000 0.5000 0.0000
4 Rh 0.0000 0.0000 0.0000
5 Na 0.5000 0.5000 0.5000